Compound: ScVTc
Source: Alexandria
Functional: PBE
Structure: relaxed Values from VASP.

```
&SYSTEM
  ibrav = 0, nat = 3, ntyp = 3
/
ATOMIC_SPECIES
Sc 44.96 Sc.upf
V 50.94 V.upf
Tc 98.00 Tc.upf
CELL_PARAMETERS angstrom
-1.568 1.568 5.020
1.568 -1.568 5.020
1.568 1.568 -5.020
ATOMIC_POSITIONS angstrom
Sc 0.000 0.000 0.000
V 0.000 0.000 6.986
Tc 0.000 0.000 3.198
```

Properties
SG ... I4mm
Formation enthalpy at 0 K ... -0.171 eV/atom